# PBE LaZr4, relaxed
data_LaZr4
_cell_length_a 5.139
_cell_length_b 5.139
_cell_length_c 5.139
_cell_angle_alpha 90.00
_cell_angle_beta 90.00
_cell_angle_gamma 90.00
_space_group_name_H-M_alt 'P m -3 m'
_space_group_IT_number 221
_space_group_name_Hall '-P 4 2 3'
loop_
_atom_site_label
_atom_site_fract_x
_atom_site_fract_y
_atom_site_fract_z
La1 0.000 0.000 0.000
Zr1 0.000 0.000 0.500
Zr2 0.500 0.500 0.500
# Relative energy among the computed polymorphs: 1035 meV per atom



# PBE LaZr, relaxed
data_LaZr
_cell_length_a 5.672
_cell_length_b 5.672
_cell_length_c 3.529
_cell_angle_alpha 90.00
_cell_angle_beta 90.00
_cell_angle_gamma 90.00
_space_group_name_H-M_alt 'P 4/n m m'
_space_group_IT_number 129
loop_
_space_group_symop_operation_xyz
'x,y,z'
'-x,-y,-z'
'-y+1/2,x,z'
'y+1/2,-x,-z'
'-x+1/2,-y+1/2,z'
'x+1/2,y+1/2,-z'
'y,-x+1/2,z'
'-y,x+1/2,-z'
'x+1/2,-y,-z'
'-x+1/2,y,z'
'-y,-x,-z'
'y,x,z'
'-x,y+1/2,-z'
'x,-y+1/2,z'
'y+1/2,x+1/2,-z'
'-y+1/2,-x+1/2,z'
loop_
_atom_site_label
_atom_site_fract_x
_atom_site_fract_y
_atom_site_fract_z
La1 0.250 0.250 0.050
Zr1 0.250 0.750 0.500
# Relative energy among the computed polymorphs: 147 meV per atom



# PBE LaZr, relaxed
data_LaZr
_cell_length_a 3.4598
_cell_length_b 3.4598
_cell_length_c 10.9336
_cell_angle_alpha 90.00
_cell_angle_beta 90.00
_cell_angle_gamma 120.00
_space_group_name_H-M_alt 'P 63/m m c'
_space_group_IT_number 194
_space_group_name_Hall '-P 6c 2c'
loop_
_atom_site_label
_atom_site_fract_x
_atom_site_fract_y
_atom_site_fract_z
La1 0.0000 0.0000 0.0000
Zr1 0.3333 0.6667 0.2500
# Relative energy among the computed polymorphs: 100 meV per atom



# PBE LaZr2, relaxed
data_LaZr2
_cell_length_a 4.475
_cell_length_b 14.731
_cell_length_c 4.859
_cell_angle_alpha 90.00
_cell_angle_beta 90.00
_cell_angle_gamma 90.00
_space_group_name_H-M_alt 'C m c m'
_space_group_IT_number 63
_space_group_name_Hall '-C 2c 2'
loop_
_atom_site_label
_atom_site_fract_x
_atom_site_fract_y
_atom_site_fract_z
La1 0.000 0.081 0.250
Zr1 0.000 0.253 0.750
Zr2 0.000 0.398 0.250
# Relative energy among the computed polymorphs: 73 meV per atom



Crystalline LaZr3 at its relaxed geometry, computed with PBE.

The structure in CIF format:
```
data_LaZr3
_cell_length_a 5.817
_cell_length_b 5.817
_cell_length_c 5.817
_cell_angle_alpha 90.00
_cell_angle_beta 90.00
_cell_angle_gamma 90.00
_space_group_name_H-M_alt 'P m -3 n'
_space_group_IT_number 223
_space_group_name_Hall '-P 4n 2 3'
loop_
_atom_site_label
_atom_site_fract_x
_atom_site_fract_y
_atom_site_fract_z
La1 0.000 0.000 0.000
Zr1 0.000 0.250 0.500
```



# PBE LaZr, relaxed
data_LaZr
_cell_length_a 3.4073
_cell_length_b 3.4073
_cell_length_c 11.4441
_cell_angle_alpha 90.00
_cell_angle_beta 90.00
_cell_angle_gamma 120.00
_space_group_name_H-M_alt 'P -3 m 1'
_space_group_IT_number 164
_space_group_name_Hall '-P 3 2"'
loop_
_atom_site_label
_atom_site_fract_x
_atom_site_fract_y
_atom_site_fract_z
La1 0.3333 0.6667 0.1466
Zr1 0.3333 0.6667 0.6068
# Relative energy among the computed polymorphs: 27 meV per atom



Number 1: calculated density 6164 kg/m3, total energy -6.660 eV per atom. Number 2: calculated density 6733 kg/m3, total energy -6.473 eV per atom. Number 3: calculated density 6743 kg/m3, total energy -6.521 eV per atom. Number 4: calculated density 6663 kg/m3, total energy -7.174 eV per atom. Number 5: calculated density 6963 kg/m3, total energy -7.428 eV per atom. Number 6: calculated density 6642 kg/m3, total energy -6.594 eV per atom.